First-principles (PBE-GGA) data for crystalline Ho2ScNbN4 at its relaxed geometry, as listed in Alexandria via LeMat-Bulk.

a = 5.6892 Å, b = 3.2770 Å, c = 5.7141 Å
α = 90.00°, β = 109.15°, γ = 90.00°
Atoms (fractional coordinates):
1 Ho 0.0000 0.0000 0.0000
2 Ho 0.5000 0.5000 0.0000
3 Sc 0.0000 0.5000 0.5000
4 Nb 0.5000 0.0000 0.5000
5 N 0.2493 0.0000 0.7305
6 N 0.2592 0.5000 0.2695
7 N 0.7408 0.5000 0.7305
8 N 0.7507 0.0000 0.2695

Properties
Theoretical density: 8.643 Mg/m³
DOS at the Fermi energy: 2.208 states/eV per cell
Total magnetization: 0.0 μB/cell
Energy relative to the elements, uncorrected: -1606.5 meV per atom